Zn2Pd8Pt3 after structural relaxation, computed with PBE.

Crystal system: trigonal
Symmetry: R-3m (166)
DFT formation energy (eV per atom): 0.138
Energy above the lowest structure with this stoichiometry (eV/atom): 0.142

Unit cell a=5.107 b=5.107 c=9.988 alpha=75.19 beta=75.19 gamma=60.00
Fractional positions:
Pd  0.721  0.721  0.837
Pt  0.816  0.816  0.552
Pd  0.731  0.731  0.309
Zn  0.637  0.637  0.088
Pd  0.269  0.269  0.691
Pd  0.731  0.229  0.309
Pt  0.184  0.184  0.448
Pd  0.279  0.279  0.163
Pt  0.000  0.000  0.000
Pd  0.229  0.731  0.309
Pd  0.771  0.269  0.691
Zn  0.363  0.363  0.912
Pd  0.269  0.771  0.691